(1)
Computed, not measured: YTi2TlSn after structural relaxation at the PBE-GGA level of DFT. Values from VASP.

The structure in Quantum ESPRESSO input format:
```
&SYSTEM
  ibrav = 0, nat = 5, ntyp = 4
/
ATOMIC_SPECIES
Y 88.91 Y.upf
Ti 47.87 Ti.upf
Tl 204.38 Tl.upf
Sn 118.71 Sn.upf
CELL_PARAMETERS angstrom
5.135 0.000 0.000
0.000 5.135 0.000
0.000 0.000 5.578
ATOMIC_POSITIONS crystal
Y 0.000 0.000 0.000
Ti 0.000 0.500 0.500
Ti 0.500 0.000 0.500
Tl 0.500 0.500 0.000
Sn 0.500 0.500 0.500
```

Crystal system ... tetragonal
ρ ... 5.73 Mg/m³
Space-group type ... P4/mmm

=====

(2)
Computed, not measured: YTi2TlSn after structural relaxation at the PBE-GGA level of DFT. Values from VASP.

The structure in Quantum ESPRESSO input format:
```
&SYSTEM
  ibrav = 0, nat = 5, ntyp = 4
/
ATOMIC_SPECIES
Y 88.91 Y.upf
Ti 47.87 Ti.upf
Tl 204.38 Tl.upf
Sn 118.71 Sn.upf
CELL_PARAMETERS angstrom
5.010 0.000 0.000
0.000 5.010 0.000
0.000 0.000 5.705
ATOMIC_POSITIONS crystal
Y 0.000 0.000 0.000
Ti 0.000 0.500 0.000
Ti 0.500 0.000 0.000
Tl 0.000 0.000 0.500
Sn 0.500 0.500 0.500
```

Crystal system ... tetragonal
ρ ... 5.89 Mg/m³
Space-group type ... P4/mmm

=====

Order of stability, best first: (1), (2)

=====

(1)
Computed, not measured: TmTiSn after structural relaxation at the PBE-GGA level of DFT. Values from VASP.

The structure in Quantum ESPRESSO input format:
```
&SYSTEM
  ibrav = 0, nat = 3, ntyp = 3
/
ATOMIC_SPECIES
Tm 168.93 Tm.upf
Ti 47.87 Ti.upf
Sn 118.71 Sn.upf
CELL_PARAMETERS angstrom
-1.801 1.801 5.250
1.801 -1.801 5.250
1.801 1.801 -5.250
ATOMIC_POSITIONS crystal
Tm 0.000 0.000 0.000
Ti 0.327 0.327 0.000
Sn 0.687 0.687 0.000
```

Crystal system ... tetragonal
ρ ... 8.18 Mg/m³
Space-group type ... I4mm

=====

(2)
Computed, not measured: TmTiSn after structural relaxation at the PBE-GGA level of DFT. Values from VASP.

The structure in Quantum ESPRESSO input format:
```
&SYSTEM
  ibrav = 0, nat = 6, ntyp = 3
/
ATOMIC_SPECIES
Tm 168.93 Tm.upf
Ti 47.87 Ti.upf
Sn 118.71 Sn.upf
CELL_PARAMETERS angstrom
4.866 0.000 0.000
0.000 4.866 0.000
0.000 0.000 6.648
ATOMIC_POSITIONS crystal
Tm 0.250 0.750 0.000
Tm 0.750 0.250 0.000
Ti 0.250 0.750 0.500
Ti 0.750 0.250 0.500
Sn 0.250 0.250 0.280
Sn 0.750 0.750 0.720
```

Crystal system ... tetragonal
ρ ... 7.08 Mg/m³
Space-group type ... P4/nmm

=====

Order of stability, best first: (1), (2)

=====

(1)
Computed, not measured: TmTiSn after structural relaxation at the PBE-GGA level of DFT. Values from VASP.

The structure in Quantum ESPRESSO input format:
```
&SYSTEM
  ibrav = 0, nat = 3, ntyp = 3
/
ATOMIC_SPECIES
Tm 168.93 Tm.upf
Ti 47.87 Ti.upf
Sn 118.71 Sn.upf
CELL_PARAMETERS angstrom
4.933 0.000 0.000
-2.466 4.272 0.000
0.000 0.000 3.337
ATOMIC_POSITIONS crystal
Tm 0.000 0.000 0.000
Ti 0.667 0.333 0.498
Sn 0.333 0.667 0.503
```

Crystal system ... trigonal
ρ ... 7.92 Mg/m³
Space-group type ... P3m1

=====

(2)
Computed, not measured: TmTiSn after structural relaxation at the PBE-GGA level of DFT. Values from VASP.

The structure in Quantum ESPRESSO input format:
```
&SYSTEM
  ibrav = 0, nat = 6, ntyp = 3
/
ATOMIC_SPECIES
Tm 168.93 Tm.upf
Ti 47.87 Ti.upf
Sn 118.71 Sn.upf
CELL_PARAMETERS angstrom
4.244 0.000 0.000
0.000 4.244 0.000
0.000 0.000 7.829
ATOMIC_POSITIONS crystal
Tm 0.250 0.250 0.164
Tm 0.750 0.750 0.836
Ti 0.250 0.750 0.500
Ti 0.750 0.250 0.500
Sn 0.250 0.250 0.756
Sn 0.750 0.750 0.244
```

Crystal system ... tetragonal
ρ ... 7.90 Mg/m³
Space-group type ... P4/nmm

=====

Order of stability, best first: (2), (1)

=====

(1)
Computed, not measured: TmTiSn2 after structural relaxation at the PBE-GGA level of DFT. Values from VASP.

The structure in Quantum ESPRESSO input format:
```
&SYSTEM
  ibrav = 0, nat = 4, ntyp = 3
/
ATOMIC_SPECIES
Tm 168.93 Tm.upf
Ti 47.87 Ti.upf
Sn 118.71 Sn.upf
CELL_PARAMETERS angstrom
4.557 0.000 0.000
0.000 4.557 0.000
0.000 0.000 4.332
ATOMIC_POSITIONS crystal
Tm 0.000 0.000 0.000
Ti 0.500 0.500 0.000
Sn 0.000 0.500 0.500
Sn 0.500 0.000 0.500
```

Crystal system ... tetragonal
ρ ... 8.38 Mg/m³
Space-group type ... P4/mmm

=====

(2)
Computed, not measured: TmTiSn2 after structural relaxation at the PBE-GGA level of DFT. Values from VASP.

The structure in Quantum ESPRESSO input format:
```
&SYSTEM
  ibrav = 0, nat = 4, ntyp = 3
/
ATOMIC_SPECIES
Tm 168.93 Tm.upf
Ti 47.87 Ti.upf
Sn 118.71 Sn.upf
CELL_PARAMETERS angstrom
1.664 0.961 9.677
-1.664 0.961 9.677
0.000 -1.921 9.677
ATOMIC_POSITIONS crystal
Tm 0.000 0.000 0.000
Ti 0.500 0.500 0.500
Sn 0.243 0.243 0.243
Sn 0.757 0.757 0.757
```

Crystal system ... trigonal
ρ ... 8.13 Mg/m³
Space-group type ... R-3m

=====

Order of stability, best first: (1), (2)

=====

(1)
Computed, not measured: Ti2VSn2 after structural relaxation at the PBE-GGA level of DFT. Values from VASP.

The structure in Quantum ESPRESSO input format:
```
&SYSTEM
  ibrav = 0, nat = 10, ntyp = 3
/
ATOMIC_SPECIES
Ti 47.87 Ti.upf
V 50.94 V.upf
Sn 118.71 Sn.upf
CELL_PARAMETERS angstrom
2.324 -7.412 0.000
2.324 7.412 0.000
0.000 0.000 5.482
ATOMIC_POSITIONS crystal
Ti 0.126 0.874 0.500
Ti 0.337 0.663 0.499
Ti 0.663 0.337 0.999
Ti 0.874 0.126 0.000
V 0.056 0.944 0.000
V 0.944 0.056 0.500
Sn 0.254 0.746 0.000
Sn 0.500 0.500 0.250
Sn 0.500 0.500 0.750
Sn 0.746 0.254 0.500
```

Crystal system ... orthorhombic
ρ ... 6.75 Mg/m³
Space-group type ... Cmc2_1

=====

(2)
Computed, not measured: Ti2VSn2 after structural relaxation at the PBE-GGA level of DFT. Values from VASP.

The structure in Quantum ESPRESSO input format:
```
&SYSTEM
  ibrav = 0, nat = 10, ntyp = 3
/
ATOMIC_SPECIES
Ti 47.87 Ti.upf
V 50.94 V.upf
Sn 118.71 Sn.upf
CELL_PARAMETERS angstrom
7.145 0.000 0.000
0.000 7.145 0.000
0.000 0.000 3.730
ATOMIC_POSITIONS crystal
Ti 0.162 0.338 0.000
Ti 0.338 0.838 0.000
Ti 0.662 0.162 0.000
Ti 0.838 0.662 0.000
V 0.000 0.000 0.500
V 0.500 0.500 0.500
Sn 0.143 0.643 0.500
Sn 0.357 0.143 0.500
Sn 0.643 0.857 0.500
Sn 0.857 0.357 0.500
```

Crystal system ... tetragonal
ρ ... 6.70 Mg/m³
Space-group type ... P4/mbm

=====

Order of stability, best first: (2), (1)

=====

(1)
Computed, not measured: TiV2Sn2 after structural relaxation at the PBE-GGA level of DFT. Values from VASP.

The structure in Quantum ESPRESSO input format:
```
&SYSTEM
  ibrav = 0, nat = 10, ntyp = 3
/
ATOMIC_SPECIES
Ti 47.87 Ti.upf
V 50.94 V.upf
Sn 118.71 Sn.upf
CELL_PARAMETERS angstrom
7.284 0.000 0.000
0.000 7.284 0.000
0.000 0.000 3.409
ATOMIC_POSITIONS crystal
Ti 0.000 0.000 0.000
Ti 0.500 0.500 0.000
V 0.154 0.346 0.500
V 0.346 0.846 0.500
V 0.654 0.154 0.500
V 0.846 0.654 0.500
Sn 0.145 0.645 0.000
Sn 0.355 0.145 0.000
Sn 0.645 0.855 0.000
Sn 0.855 0.355 0.000
```

Crystal system ... tetragonal
ρ ... 7.11 Mg/m³
Space-group type ... P4/mbm

=====

(2)
Computed, not measured: TiV2Sn2 after structural relaxation at the PBE-GGA level of DFT. Values from VASP.

The structure in Quantum ESPRESSO input format:
```
&SYSTEM
  ibrav = 0, nat = 10, ntyp = 3
/
ATOMIC_SPECIES
Ti 47.87 Ti.upf
V 50.94 V.upf
Sn 118.71 Sn.upf
CELL_PARAMETERS angstrom
7.705 0.000 0.000
0.000 7.705 0.000
0.000 0.000 3.066
ATOMIC_POSITIONS crystal
Ti 0.000 0.000 0.000
Ti 0.500 0.500 0.000
V 0.107 0.393 0.000
V 0.393 0.893 0.000
V 0.607 0.107 0.000
V 0.893 0.607 0.000
Sn 0.186 0.686 0.500
Sn 0.314 0.186 0.500
Sn 0.686 0.814 0.500
Sn 0.814 0.314 0.500
```

Crystal system ... tetragonal
ρ ... 7.06 Mg/m³
Space-group type ... P4/mbm

=====

Order of stability, best first: (1), (2)

=====

(1)
Computed, not measured: TiSnW3 after structural relaxation at the PBE-GGA level of DFT. Values from VASP.

The structure in Quantum ESPRESSO input format:
```
&SYSTEM
  ibrav = 0, nat = 5, ntyp = 3
/
ATOMIC_SPECIES
Ti 47.87 Ti.upf
Sn 118.71 Sn.upf
W 183.84 W.upf
CELL_PARAMETERS angstrom
4.851 0.000 0.000
0.000 4.851 0.000
0.000 0.000 4.851
ATOMIC_POSITIONS crystal
Ti 0.000 0.000 0.000
Sn 0.500 0.500 0.500
W 0.000 0.500 0.500
W 0.500 0.000 0.500
W 0.500 0.500 0.000
```

Crystal system ... cubic
ρ ... 10.44 Mg/m³
Space-group type ... Pm-3m

=====

(2)
Computed, not measured: TiSnW3 after structural relaxation at the PBE-GGA level of DFT. Values from VASP.

The structure in Quantum ESPRESSO input format:
```
&SYSTEM
  ibrav = 0, nat = 5, ntyp = 3
/
ATOMIC_SPECIES
Ti 47.87 Ti.upf
Sn 118.71 Sn.upf
W 183.84 W.upf
CELL_PARAMETERS angstrom
4.637 0.000 0.000
0.000 4.637 0.000
0.000 0.000 4.637
ATOMIC_POSITIONS crystal
Ti 0.000 0.000 0.000
Sn 0.500 0.500 0.500
W 0.000 0.000 0.500
W 0.000 0.500 0.000
W 0.500 0.000 0.000
```

Crystal system ... cubic
ρ ... 11.96 Mg/m³
Space-group type ... Pm-3m

=====

Order of stability, best first: (2), (1)

=====

(1)
Computed, not measured: Y3TiSn after structural relaxation at the PBE-GGA level of DFT. Values from VASP.

The structure in Quantum ESPRESSO input format:
```
&SYSTEM
  ibrav = 0, nat = 5, ntyp = 3
/
ATOMIC_SPECIES
Y 88.91 Y.upf
Ti 47.87 Ti.upf
Sn 118.71 Sn.upf
CELL_PARAMETERS angstrom
5.296 0.000 0.000
0.000 5.296 0.000
0.000 0.000 5.296
ATOMIC_POSITIONS crystal
Y 0.000 0.000 0.500
Y 0.000 0.500 0.000
Y 0.500 0.000 0.000
Ti 0.000 0.000 0.000
Sn 0.500 0.500 0.500
```

Crystal system ... cubic
ρ ... 4.84 Mg/m³
Space-group type ... Pm-3m

=====

(2)
Computed, not measured: Y3TiSn after structural relaxation at the PBE-GGA level of DFT. Values from VASP.

The structure in Quantum ESPRESSO input format:
```
&SYSTEM
  ibrav = 0, nat = 5, ntyp = 3
/
ATOMIC_SPECIES
Y 88.91 Y.upf
Ti 47.87 Ti.upf
Sn 118.71 Sn.upf
CELL_PARAMETERS angstrom
5.686 0.000 0.000
0.000 5.686 0.000
0.000 0.000 5.686
ATOMIC_POSITIONS crystal
Y 0.000 0.000 0.500
Y 0.000 0.500 0.000
Y 0.500 0.000 0.000
Ti 0.500 0.500 0.500
Sn 0.000 0.000 0.000
```

Crystal system ... cubic
ρ ... 3.91 Mg/m³
Space-group type ... Pm-3m

=====

Order of stability, best first: (1), (2)

=====

(1)
Computed, not measured: Ti6Zn2Sn after structural relaxation at the PBE-GGA level of DFT. Values from VASP.

The structure in Quantum ESPRESSO input format:
```
&SYSTEM
  ibrav = 0, nat = 18, ntyp = 3
/
ATOMIC_SPECIES
Ti 47.87 Ti.upf
Zn 65.41 Zn.upf
Sn 118.71 Sn.upf
CELL_PARAMETERS angstrom
-4.044 4.091 4.756
4.044 -4.091 4.756
4.044 4.091 -4.756
ATOMIC_POSITIONS crystal
Ti 0.036 0.816 0.220
Ti 0.251 0.544 0.293
Ti 0.251 0.959 0.707
Ti 0.295 0.289 0.584
Ti 0.295 0.711 0.006
Ti 0.404 0.184 0.220
Ti 0.596 0.816 0.780
Ti 0.705 0.289 0.994
Ti 0.705 0.711 0.416
Ti 0.749 0.041 0.293
Ti 0.749 0.456 0.707
Ti 0.964 0.184 0.780
Zn 0.000 0.151 0.151
Zn 0.000 0.849 0.849
Zn 0.374 0.374 0.000
Zn 0.626 0.626 0.000
Sn 0.000 0.500 0.500
Sn 0.500 0.000 0.500
```

Crystal system ... orthorhombic
ρ ... 5.66 Mg/m³
Space-group type ... Immm

=====

(2)
Computed, not measured: Ti6Zn2Sn after structural relaxation at the PBE-GGA level of DFT. Values from VASP.

The structure in Quantum ESPRESSO input format:
```
&SYSTEM
  ibrav = 0, nat = 9, ntyp = 3
/
ATOMIC_SPECIES
Ti 47.87 Ti.upf
Zn 65.41 Zn.upf
Sn 118.71 Sn.upf
CELL_PARAMETERS angstrom
7.165 -3.948 0.000
7.165 3.948 0.000
-0.544 0.000 2.751
ATOMIC_POSITIONS crystal
Ti 0.143 0.513 0.828
Ti 0.165 0.835 0.000
Ti 0.487 0.857 0.172
Ti 0.513 0.143 0.828
Ti 0.835 0.165 0.000
Ti 0.857 0.487 0.172
Zn 0.153 0.153 0.651
Zn 0.847 0.847 0.349
Sn 0.500 0.500 0.500
```

Crystal system ... monoclinic
ρ ... 5.73 Mg/m³
Space-group type ... C2/m

=====

Order of stability, best first: (1), (2)

=====

(1)
Computed, not measured: Ti4ZnSn after structural relaxation at the PBE-GGA level of DFT. Values from VASP.

The structure in Quantum ESPRESSO input format:
```
&SYSTEM
  ibrav = 0, nat = 6, ntyp = 3
/
ATOMIC_SPECIES
Ti 47.87 Ti.upf
Zn 65.41 Zn.upf
Sn 118.71 Sn.upf
CELL_PARAMETERS angstrom
4.979 -1.767 0.000
4.979 1.767 0.000
-1.914 0.000 5.930
ATOMIC_POSITIONS crystal
Ti 0.164 0.164 0.349
Ti 0.172 0.172 0.821
Ti 0.828 0.828 0.179
Ti 0.836 0.836 0.651
Zn 0.500 0.500 0.500
Sn 0.500 0.500 0.000
```

Crystal system ... monoclinic
ρ ... 5.98 Mg/m³
Space-group type ... C2/m

=====

(2)
Computed, not measured: Ti4ZnSn after structural relaxation at the PBE-GGA level of DFT. Values from VASP.

The structure in Quantum ESPRESSO input format:
```
&SYSTEM
  ibrav = 0, nat = 12, ntyp = 3
/
ATOMIC_SPECIES
Ti 47.87 Ti.upf
Zn 65.41 Zn.upf
Sn 118.71 Sn.upf
CELL_PARAMETERS angstrom
4.685 0.000 0.000
0.000 5.647 0.000
0.000 0.000 7.907
ATOMIC_POSITIONS crystal
Ti 0.250 0.006 0.236
Ti 0.250 0.494 0.236
Ti 0.250 0.750 0.589
Ti 0.250 0.750 0.920
Ti 0.750 0.250 0.080
Ti 0.750 0.250 0.411
Ti 0.750 0.506 0.764
Ti 0.750 0.994 0.764
Zn 0.250 0.250 0.932
Zn 0.750 0.750 0.068
Sn 0.250 0.250 0.597
Sn 0.750 0.750 0.403
```

Crystal system ... orthorhombic
ρ ... 5.96 Mg/m³
Space-group type ... Pmmn

=====

Order of stability, best first: (1), (2)

=====

(1)
Computed, not measured: Ti3ZnSn after structural relaxation at the PBE-GGA level of DFT. Values from VASP.

The structure in Quantum ESPRESSO input format:
```
&SYSTEM
  ibrav = 0, nat = 10, ntyp = 3
/
ATOMIC_SPECIES
Ti 47.87 Ti.upf
Zn 65.41 Zn.upf
Sn 118.71 Sn.upf
CELL_PARAMETERS angstrom
2.571 -7.326 0.000
2.571 7.326 0.000
0.000 0.000 5.159
ATOMIC_POSITIONS crystal
Ti 0.000 0.000 0.000
Ti 0.000 0.000 0.500
Ti 0.091 0.397 0.250
Ti 0.397 0.091 0.750
Ti 0.603 0.909 0.250
Ti 0.909 0.603 0.750
Zn 0.475 0.525 0.750
Zn 0.525 0.475 0.250
Sn 0.173 0.827 0.250
Sn 0.827 0.173 0.750
```

Crystal system ... orthorhombic
ρ ... 5.60 Mg/m³
Space-group type ... Cmcm

=====

(2)
Computed, not measured: Ti3ZnSn after structural relaxation at the PBE-GGA level of DFT. Values from VASP.

The structure in Quantum ESPRESSO input format:
```
&SYSTEM
  ibrav = 0, nat = 5, ntyp = 3
/
ATOMIC_SPECIES
Ti 47.87 Ti.upf
Zn 65.41 Zn.upf
Sn 118.71 Sn.upf
CELL_PARAMETERS angstrom
5.010 0.000 0.000
0.000 5.010 0.000
0.000 0.000 5.010
ATOMIC_POSITIONS crystal
Ti 0.000 0.000 0.500
Ti 0.000 0.500 0.000
Ti 0.500 0.000 0.000
Zn 0.500 0.500 0.500
Sn 0.000 0.000 0.000
```

Crystal system ... cubic
ρ ... 4.33 Mg/m³
Space-group type ... Pm-3m

=====

(3)
Computed, not measured: Ti3ZnSn after structural relaxation at the PBE-GGA level of DFT. Values from VASP.

The structure in Quantum ESPRESSO input format:
```
&SYSTEM
  ibrav = 0, nat = 10, ntyp = 3
/
ATOMIC_SPECIES
Ti 47.87 Ti.upf
Zn 65.41 Zn.upf
Sn 118.71 Sn.upf
CELL_PARAMETERS angstrom
6.423 0.000 0.000
-3.212 5.563 0.000
0.000 0.000 5.140
ATOMIC_POSITIONS crystal
Ti 0.194 0.389 0.250
Ti 0.194 0.806 0.250
Ti 0.389 0.194 0.750
Ti 0.611 0.806 0.250
Ti 0.806 0.194 0.750
Ti 0.806 0.611 0.750
Zn 0.000 0.000 0.000
Zn 0.000 0.000 0.500
Sn 0.333 0.667 0.750
Sn 0.667 0.333 0.250
```

Crystal system ... hexagonal
ρ ... 5.93 Mg/m³
Space-group type ... P6_3/mmc

=====

(4)
Computed, not measured: Ti3ZnSn after structural relaxation at the PBE-GGA level of DFT. Values from VASP.

The structure in Quantum ESPRESSO input format:
```
&SYSTEM
  ibrav = 0, nat = 5, ntyp = 3
/
ATOMIC_SPECIES
Ti 47.87 Ti.upf
Zn 65.41 Zn.upf
Sn 118.71 Sn.upf
CELL_PARAMETERS angstrom
4.666 0.000 0.000
0.000 4.666 0.000
0.000 0.000 4.666
ATOMIC_POSITIONS crystal
Ti 0.000 0.000 0.500
Ti 0.000 0.500 0.000
Ti 0.500 0.000 0.000
Zn 0.000 0.000 0.000
Sn 0.500 0.500 0.500
```

Crystal system ... cubic
ρ ... 5.36 Mg/m³
Space-group type ... Pm-3m

=====

Order of stability, best first: (3), (1), (4), (2)